one | The following is a PBE calculation of an optimized crystal structure of TmPa2Si, from Alexandria.

Cell: 3.1691 3.1691 33.3049 Å, 90.00 90.00 120.00°
Space group R-3m (No. 166, hexagonal axes)
Symmetry-distinct sites (fractional):
Tm: 0.0000 0.0000 0.0000 (multiplicity 3)
Pa: 0.0000 0.0000 0.0958 (multiplicity 6)
Si: 0.0000 0.0000 0.5000 (multiplicity 3)

***

two | The following is a PBE calculation of an optimized crystal structure of TmPa2Si, from Alexandria.

Cell: 4.292 4.292 4.875 Å, 90.00 90.00 90.00°
Space group P4/mmm (No. 123)
Symmetry-distinct sites (fractional):
Tm: 0.000 0.000 0.000 (multiplicity 1)
Pa: 0.000 0.500 0.500 (multiplicity 2)
Si: 0.500 0.500 0.000 (multiplicity 1)

***

Most stable structure: two

***

one | The following is a PBE calculation of an optimized crystal structure of TmPaSi2, from Alexandria.

Cell: 3.933 4.165 10.401 Å, 90.00 90.00 90.00°
Space group Amm2 (No. 38)
Symmetry-distinct sites (fractional):
Tm: 0.000 0.000 0.000 (multiplicity 2)
Pa: 0.500 0.000 0.720 (multiplicity 2)
Si: 0.000 0.000 0.276 (multiplicity 2)
Si: 0.500 0.000 0.433 (multiplicity 2)

***

two | The following is a PBE calculation of an optimized crystal structure of TmPaSi2, from Alexandria.

Cell: 4.5172 4.5172 14.9936 Å, 90.00 90.00 120.00°
Space group R-3m (No. 166, hexagonal axes)
Symmetry-distinct sites (fractional):
Tm: 0.0000 0.0000 0.0000 (multiplicity 3)
Pa: 0.0000 0.0000 0.5000 (multiplicity 3)
Si: 0.0000 0.0000 0.2530 (multiplicity 6)

***

Most stable structure: one

***

one | The following is a PBE calculation of an optimized crystal structure of TmPaSi4, from Alexandria.

Cell: 8.387 14.326 3.911 Å, 90.00 90.00 90.00°
Space group Pbam (No. 55)
Symmetry-distinct sites (fractional):
Tm: 0.134 0.084 0.000 (multiplicity 4)
Pa: 0.096 0.367 0.000 (multiplicity 4)
Si: 0.037 0.215 0.500 (multiplicity 4)
Si: 0.126 0.531 0.500 (multiplicity 4)
Si: 0.145 0.923 0.500 (multiplicity 4)
Si: 0.187 0.692 0.500 (multiplicity 4)

***

two | The following is a PBE calculation of an optimized crystal structure of TmPaSi4, from Alexandria.

Cell: 7.466 7.466 7.466 Å, 90.00 90.00 90.00°
Space group F-43m (No. 216)
Symmetry-distinct sites (fractional):
Tm: 0.000 0.000 0.000 (multiplicity 4)
Pa: 0.250 0.250 0.750 (multiplicity 4)
Si: 0.128 0.128 0.372 (multiplicity 16)

***

Most stable structure: one